The following is a PBEsol calculation of a relaxed structure of Ti3BeI, from the Alexandria database.

Unit cell a=4.8760 b=4.8760 c=4.8760 alpha=90.00 beta=90.00 gamma=90.00
Space group Pm-3m (No. 221)
Unique sites:
Ti1 0.0000 0.0000 0.5000 x3
Be1 0.5000 0.5000 0.5000 x1
I1 0.0000 0.0000 0.0000 x1

For the total energy, the calculation gives -4.7834 eV/atom. The value obtained for the uncorrected formation energy is 131.5 kJ/mol of atoms. The value obtained for the total magnetic moment is 2.2 μB per formula unit.

The following is a PBEsol calculation of a relaxed structure of TmPPt, from the Alexandria database.

Unit cell a=4.0717 b=4.0717 c=3.7359 alpha=90.00 beta=90.00 gamma=120.00
Space group P-6m2 (No. 187)
Unique sites:
Tm1 0.0000 0.0000 0.0000 x1
P1 0.3333 0.6667 0.5000 x1
Pt1 0.6667 0.3333 0.5000 x1

For the total energy, the calculation gives -7.2619 eV/atom. The value obtained for the total magnetic moment is 0.0 μB per formula unit.

The following is a PBEsol calculation of a relaxed structure of LaInRu, from the Alexandria database.

Unit cell a=6.8413 b=6.8413 c=6.8413 alpha=90.00 beta=90.00 gamma=90.00
Space group F-43m (No. 216)
Unique sites:
La1 0.0000 0.0000 0.0000 x4
In1 0.2500 0.2500 0.2500 x4
Ru1 0.2500 0.2500 0.7500 x4

For the total energy, the calculation gives -5.3740 eV/atom. The value obtained for the total magnetic moment is 0.0 μB per formula unit.

The following is a PBEsol calculation of a relaxed structure of Rb2CdAu2, from the Alexandria database.

Unit cell a=7.4798 b=7.4798 c=5.2353 alpha=90.00 beta=90.00 gamma=90.00
Space group P4/mbm (No. 127)
Unique sites:
Rb1 0.1718 0.3282 0.0000 x4
Cd1 0.0000 0.0000 0.5000 x2
Au1 0.1321 0.6321 0.5000 x4

For the total energy, the calculation gives -2.3188 eV/atom. The value obtained for the total magnetic moment is 0.0 μB per formula unit.

The following is a PBEsol calculation of a relaxed structure of Li4Si2NiO7, from the Alexandria database.

Unit cell a=13.0650 b=5.4275 c=7.8876 alpha=90.00 beta=95.47 gamma=90.00
Space group Cc (No. 9)
Unique sites:
Li1 0.0000 0.1469 0.0000 x4
Li2 0.0696 0.3312 0.3496 x4
Li3 0.2034 0.3415 0.0689 x4
Li4 0.2757 0.1823 0.4215 x4
Si1 0.1412 0.1693 0.7052 x4
Si2 0.3549 0.3292 0.7795 x4
Ni1 0.4235 0.1596 0.1526 x4
O1 0.0507 0.3100 0.8012 x4
O2 0.1164 0.1193 0.1735 x4
O3 0.1701 0.3188 0.5392 x4
O4 0.2504 0.1882 0.8466 x4
O5 0.3264 0.3817 0.2403 x4
O6 0.3903 0.1879 0.6106 x4
O7 0.4459 0.3080 0.9359 x4

For the total energy, the calculation gives -6.6746 eV/atom. The value obtained for the uncorrected formation energy is -214.9 kJ/mol of atoms. The value obtained for the total magnetic moment is 2.0 μB per formula unit.

The following is a PBEsol calculation of a relaxed structure of NbAsP2Cl, from the Alexandria database.

Unit cell a=4.6540 b=4.6540 c=4.5443 alpha=90.00 beta=90.00 gamma=90.00
Space group P4/mmm (No. 123)
Unique sites:
Nb1 0.0000 0.0000 0.0000 x1
As1 0.5000 0.5000 0.5000 x1
P1 0.0000 0.5000 0.5000 x2
Cl1 0.5000 0.5000 0.0000 x1

For the total energy, the calculation gives -4.9769 eV/atom. The value obtained for the uncorrected formation energy is 89.4 kJ/mol of atoms. The value obtained for the total magnetic moment is 1.9 μB per formula unit.